1.
This record from Alexandria describes a relaxed KScAlFe crystal. The functional is PBE-GGA.

Cell lengths 7.1332, 4.1505, 7.9649 Å; angles 90.00, 107.59, 90.00 degrees
Element x y z (fractional)
1 K 0.0000 0.0000 0.0000
2 K 0.5000 0.5000 0.0000
3 Sc 0.3164 0.5000 0.4548
4 Sc 0.8164 0.0000 0.4548
5 Al 0.0501 0.5000 0.6573
6 Al 0.5501 0.0000 0.6573
7 Fe 0.2066 0.0000 0.6307
8 Fe 0.7066 0.5000 0.6307

Properties
Formation energy from the elements = 280 meV/atom
Offset from the most stable computed form = 133.5 meV per atom

***

2.
This record from Alexandria describes a relaxed CsV3Cr crystal. The functional is PBE-GGA.

Cell lengths 4.8500, 4.8500, 4.8500 Å; angles 90.00, 90.00, 90.00 degrees
Element x y z (fractional)
1 Cs 0.0000 0.0000 0.0000
2 V 0.0000 0.5000 0.5000
3 V 0.5000 0.0000 0.5000
4 V 0.5000 0.5000 0.0000
5 Cr 0.5000 0.5000 0.5000

Properties
Formation energy from the elements = 1482 meV/atom
Offset from the most stable computed form = 0.0 meV per atom

***

3.
This record from Alexandria describes a relaxed Ac4CuSe3 crystal. The functional is PBE-GGA.

Cell lengths 9.1228, 12.7638, 4.3812 Å; angles 90.00, 90.00, 90.00 degrees
Element x y z (fractional)
1 Ac 0.0000 0.2489 0.0000
2 Ac 0.0000 0.7511 0.0000
3 Ac 0.2385 0.0000 0.5000
4 Ac 0.2615 0.5000 0.5000
5 Ac 0.5000 0.2511 0.0000
6 Ac 0.5000 0.7489 0.0000
7 Ac 0.7385 0.5000 0.5000
8 Ac 0.7615 0.0000 0.5000
9 Cu 0.0000 0.0000 0.0000
10 Cu 0.5000 0.5000 0.0000
11 Se 0.0000 0.5000 0.0000
12 Se 0.2500 0.2500 0.5000
13 Se 0.2500 0.7500 0.5000
14 Se 0.5000 0.0000 0.0000
15 Se 0.7500 0.2500 0.5000
16 Se 0.7500 0.7500 0.5000

Properties
Energy relative to the elements, uncorrected = -1.403 eV per atom

***

4.
This record from Alexandria describes a relaxed Ca2HoZn6 crystal. The functional is PBE-GGA.

Cell lengths 7.7827, 7.7827, 3.6282 Å; angles 90.00, 90.00, 120.00 degrees
Element x y z (fractional)
1 Ca 0.3333 0.6667 0.0000
2 Ca 0.6667 0.3333 0.0000
3 Ho 0.0000 0.0000 0.0000
4 Zn 0.0000 0.3316 0.5000
5 Zn 0.0000 0.6684 0.5000
6 Zn 0.3316 0.0000 0.5000
7 Zn 0.3316 0.3316 0.5000
8 Zn 0.6684 0.0000 0.5000
9 Zn 0.6684 0.6684 0.5000

Properties
Formation energy from the elements = -300 meV/atom

***

5.
This record from Alexandria describes a relaxed Ce6Tl2Sn crystal. The functional is PBE-GGA.

Cell lengths 9.1485, 9.1485, 3.2001 Å; angles 90.00, 90.00, 120.00 degrees
Element x y z (fractional)
1 Ce 0.0000 0.3268 0.0000
2 Ce 0.0000 0.6732 0.0000
3 Ce 0.3268 0.0000 0.0000
4 Ce 0.3268 0.3268 0.0000
5 Ce 0.6732 0.0000 0.0000
6 Ce 0.6732 0.6732 0.0000
7 Tl 0.3333 0.6667 0.5000
8 Tl 0.6667 0.3333 0.5000
9 Sn 0.0000 0.0000 0.5000

Properties
Formation energy from the elements = -181 meV/atom
Offset from the most stable computed form = 0.0 meV per atom

***

6.
This record from Alexandria describes a relaxed Dy2Ga9Ir3 crystal. The functional is PBE-GGA.

Cell lengths 7.5774, 7.5774, 9.5096 Å; angles 90.00, 90.00, 60.19 degrees
Element x y z (fractional)
1 Dy 0.0021 0.6696 0.7500
2 Dy 0.3304 0.9979 0.7500
3 Dy 0.6696 0.0021 0.2500
4 Dy 0.9979 0.3304 0.2500
5 Ga 0.0002 0.3347 0.5804
6 Ga 0.0002 0.3347 0.9196
7 Ga 0.9998 0.6653 0.0804
8 Ga 0.9998 0.6653 0.4196
9 Ga 0.1286 0.8714 0.2500
10 Ga 0.3325 0.6675 0.5656
11 Ga 0.3325 0.6675 0.9344
12 Ga 0.3347 0.0002 0.0804
13 Ga 0.3347 0.0002 0.4196
14 Ga 0.3391 0.4533 0.2500
15 Ga 0.4533 0.3391 0.7500
16 Ga 0.5467 0.6609 0.2500
17 Ga 0.6609 0.5467 0.7500
18 Ga 0.6653 0.9998 0.5804
19 Ga 0.6653 0.9998 0.9196
20 Ga 0.6675 0.3325 0.0656
21 Ga 0.6675 0.3325 0.4344
22 Ga 0.8714 0.1286 0.7500
23 Ir 0.0000 0.0000 0.0000
24 Ir 0.0000 0.0000 0.5000
25 Ir 0.3285 0.3285 0.0000
26 Ir 0.3285 0.3285 0.5000
27 Ir 0.6715 0.6715 0.0000
28 Ir 0.6715 0.6715 0.5000

Properties
Formation energy from the elements = -669 meV/atom

***

Number 1: E -4.628 eV per atom. Number 2: E -6.084 eV per atom. Number 3: E -5.276 eV per atom. Number 4: E -2.103 eV per atom. Number 5: E -5.108 eV per atom. Number 6: E -5.171 eV per atom.